A relaxed structure of CoSnPbW2. Source: Alexandria via LeMat-Bulk, functional PBE.

Properties
Its uncorrected energy is -6.928 eV per atom. The formation energy is 6.086 eV/f.u. As for the spin magnetization: 0.000 μB per atom. Its space group is P4/mmm (123).

POSCAR file:
```
CoSnPbW2
1.0
4.6632 0.0000 0.0000
0.0000 4.6632 0.0000
0.0000 0.0000 4.6791
Co Sn Pb W
1 1 1 2
Cartesian
0.0000 0.0000 0.0000
0.0000 0.0000 2.3395
2.3316 2.3316 2.3395
0.0000 2.3316 0.0000
2.3316 0.0000 0.0000
```